Compound: YInSb2
Source: the Alexandria database
Functional: PBE-GGA
Structure: optimized geometry

Structure (extended XYZ):
```
8
Lattice="11.749 0.000 0.000 0.000 4.203 0.000 -0.588 0.000 4.505" Properties=species:S:1:pos:R:3 pbc="T T T"
Y 0.000 0.000 0.000
Y 5.874 2.101 0.000
In 2.149 0.000 2.594
In 8.023 2.101 2.594
Sb 2.547 2.101 0.280
Sb 5.060 0.000 2.187
Sb 8.421 0.000 0.280
Sb 10.934 2.101 2.187
```

* formation energy without anion corrections: -0.5089 eV per atom
* final energy: -4.8707 eV/atom


Compound: Mn3As5
Source: the Alexandria database
Functional: PBE-GGA
Structure: optimized geometry

Structure (extended XYZ):
```
16
Lattice="7.793 0.000 0.000 -3.897 6.749 0.000 0.000 0.000 5.130" Properties=species:S:1:pos:R:3 pbc="T T T"
Mn -1.506 2.609 1.282
Mn -2.390 4.140 3.847
Mn 3.012 0.000 1.282
Mn 1.506 2.609 3.847
Mn 4.781 0.000 3.847
Mn 2.390 4.140 1.282
As -1.029 1.782 3.847
As -2.868 4.967 1.282
As 2.057 0.000 3.847
As 1.029 1.782 1.282
As 0.000 4.499 0.000
As 0.000 4.499 2.565
As 3.897 2.250 0.000
As 3.897 2.250 2.565
As 5.736 0.000 1.282
As 2.868 4.967 3.847
```

* formation enthalpy at 0 K: 0.8 eV per formula unit
* final energy: -6.2399 eV/atom


Compound: K4Pu3NpS8
Source: the Alexandria database
Functional: PBE-GGA
Structure: optimized geometry

Structure (extended XYZ):
```
16
Lattice="4.125 2.382 7.324 -4.125 2.382 7.324 0.000 -4.763 7.324" Properties=species:S:1:pos:R:3 pbc="T T T"
K 0.000 0.000 0.000
K -2.063 -1.191 7.324
K -2.063 1.191 14.648
K 0.000 2.382 7.324
Pu -4.125 0.000 10.986
Pu -2.063 1.191 3.662
Pu 2.063 1.191 3.662
Np 0.000 0.000 10.986
S 0.000 0.000 5.113
S -2.052 -1.185 12.461
S 0.000 -2.370 9.511
S -2.052 1.185 9.511
S 2.052 -1.185 12.461
S 0.000 2.370 12.461
S 2.052 1.185 9.511
S 0.000 0.000 16.859
```

* formation energy without anion corrections: -1.5246 eV per atom
* final energy: -7.3587 eV/atom